# LiPa2S4 GGA-PBE relaxed
# - distance to the lowest polymorph of the same formula (meV/atom) = 0
# - E_form (uncorrected) (meV/atom) = -1559
data_LiPa2S4
_space_group_name_H-M_alt 'I -4 2 d'
_space_group_IT_number 122
_space_group_name_Hall 'I -4 2bw'
_cell_length_a 8.0640
_cell_length_b 8.0640
_cell_length_c 8.5864
_cell_angle_alpha 90.00
_cell_angle_beta 90.00
_cell_angle_gamma 90.00
loop_
_atom_site_label
_atom_site_type_symbol
_atom_site_fract_x
_atom_site_fract_y
_atom_site_fract_z
Li1 Li 0.0000 0.0000 0.0000
Pa1 Pa 0.1248 0.2500 0.6250
S1 S 0.0752 0.1905 0.3066